The following is a GGA-PBEsol calculation of an optimized crystal structure of MgSbAsI2, from Alexandria via LeMat-Bulk.

Values from the calculation:
Its energy relative to the elements, uncorrected is 0.2949 eV per atom. As for the space group: P4/mmm. The total magnetization comes out at 0.00 μB/f.u.

```
MgSbAsI2
1.0
-2.825 4.166 2.348
1.406 -1.883 5.033
4.511 3.112 -0.096
As Sb I Mg
1 1 2 1
direct
0.000 0.000 0.000 As
0.000 0.000 0.500 Sb
0.500 0.000 0.000 I
0.000 0.500 0.000 I
0.500 0.500 0.500 Mg
```